Record 1
Compound: MgZn2Au
Source: Alexandria
Functional: PBEsol
Structure: optimized geometry

Summary:
As for the formation energy: -0.25 eV per atom. Its total energy is -2.452 eV/atom. Its space group is P4/mmm.

```
data_MgZn2Au
_chemical_formula_sum 'Mg1 Zn2 Au1'
_cell_length_a 3.9143
_cell_length_b 3.9108
_cell_length_c 4.1193
_cell_angle_alpha 90.00
_cell_angle_beta 90.00
_cell_angle_gamma 90.00
_space_group_name_H-M_alt 'P 1'
_space_group_IT_number 1
loop_
_space_group_symop_operation_xyz
'x,y,z'
loop_
_atom_site_label
_atom_site_fract_x
_atom_site_fract_y
_atom_site_fract_z
Zn1 0.0000 0.0000 0.0000
Zn2 0.5000 0.5000 0.0000
Au1 0.0000 0.5000 0.5000
Mg1 0.5000 0.0000 0.5000
```

=====

Record 2
Compound: La2TcSb
Source: Alexandria
Functional: PBEsol
Structure: optimized geometry

Summary:
The value obtained for the raw formation energy is -0.241 eV/atom. Its total energy is -6.870 eV/atom. Its space group is Cmmm.

```
data_La2TcSb
_chemical_formula_sum 'La2 Tc1 Sb1'
_cell_length_a 4.2854
_cell_length_b 4.7689
_cell_length_c 4.7689
_cell_angle_alpha 89.93
_cell_angle_beta 90.00
_cell_angle_gamma 90.00
_space_group_name_H-M_alt 'P 1'
_space_group_IT_number 1
loop_
_space_group_symop_operation_xyz
'x,y,z'
loop_
_atom_site_label
_atom_site_fract_x
_atom_site_fract_y
_atom_site_fract_z
Sb1 0.5000 0.0000 0.0000
Tc1 0.5000 0.5000 0.5000
La1 0.0000 0.0000 0.5000
La2 0.0000 0.5000 0.0000
```

=====

Record 3
Compound: ZnReBr3
Source: Alexandria
Functional: PBEsol
Structure: optimized geometry

Summary:
The value obtained for the raw formation energy is 0.502 eV/atom. Its total energy is -3.602 eV/atom. Its space group is Pm-3m.

```
data_ZnReBr3
_chemical_formula_sum 'Zn1 Re1 Br3'
_cell_length_a 5.0274
_cell_length_b 5.0274
_cell_length_c 5.0274
_cell_angle_alpha 90.00
_cell_angle_beta 90.00
_cell_angle_gamma 90.00
_space_group_name_H-M_alt 'P 1'
_space_group_IT_number 1
loop_
_space_group_symop_operation_xyz
'x,y,z'
loop_
_atom_site_label
_atom_site_fract_x
_atom_site_fract_y
_atom_site_fract_z
Re1 0.0000 0.0000 0.0000
Zn1 0.5000 0.5000 0.5000
Br1 0.0000 0.5000 0.0000
Br2 0.0000 0.0000 0.5000
Br3 0.5000 0.0000 0.0000
```

=====

Record 4
Compound: NaZnAgF2
Source: Alexandria
Functional: PBEsol
Structure: optimized geometry

Summary:
The value obtained for the raw formation energy is -0.889 eV/atom. Its total energy is -2.919 eV/atom. Its space group is P4/mmm.

```
data_NaZnAgF2
_chemical_formula_sum 'Na1 Zn1 Ag1 F2'
_cell_length_a 4.5861
_cell_length_b 4.5861
_cell_length_c 4.7993
_cell_angle_alpha 90.00
_cell_angle_beta 90.00
_cell_angle_gamma 90.00
_space_group_name_H-M_alt 'P 1'
_space_group_IT_number 1
loop_
_space_group_symop_operation_xyz
'x,y,z'
loop_
_atom_site_label
_atom_site_fract_x
_atom_site_fract_y
_atom_site_fract_z
Na1 0.5000 0.5000 0.5000
Zn1 0.0000 0.0000 0.5000
Ag1 0.0000 0.0000 0.0000
F1 0.0000 0.5000 0.0000
F2 0.5000 0.0000 0.0000
```

=====

Record 5
Compound: CrOsRh2
Source: Alexandria
Functional: PBEsol
Structure: optimized geometry

Summary:
As for the formation energy: 0.01 eV per atom. Its total energy is -9.671 eV/atom. For the energy above the lowest structure with this stoichiometry, the calculation gives 92 meV/atom. Its space group is Cm.

```
data_CrOsRh2
_chemical_formula_sum 'Cr1 Os1 Rh2'
_cell_length_a 2.6388
_cell_length_b 4.5744
_cell_length_c 4.6081
_cell_angle_alpha 99.90
_cell_angle_beta 90.00
_cell_angle_gamma 106.76
_space_group_name_H-M_alt 'P 1'
_space_group_IT_number 1
loop_
_space_group_symop_operation_xyz
'x,y,z'
loop_
_atom_site_label
_atom_site_fract_x
_atom_site_fract_y
_atom_site_fract_z
Cr1 0.4998 0.9996 0.5033
Os1 0.7541 0.5083 0.2512
Rh1 0.0025 0.0050 0.0077
Rh2 0.2436 0.4872 0.7379
```

=====

Record 6
Compound: IrPt2Cl
Source: Alexandria
Functional: PBEsol
Structure: optimized geometry

Summary:
The value obtained for the raw formation energy is 0.795 eV/atom. Its total energy is -5.645 eV/atom. For the energy above the lowest structure with this stoichiometry, the calculation gives 504 meV/atom. Its space group is Fm-3m.

```
data_IrPt2Cl
_chemical_formula_sum 'Ir1 Pt2 Cl1'
_cell_length_a 4.4208
_cell_length_b 4.4208
_cell_length_c 4.4208
_cell_angle_alpha 60.00
_cell_angle_beta 60.00
_cell_angle_gamma 60.00
_space_group_name_H-M_alt 'P 1'
_space_group_IT_number 1
loop_
_space_group_symop_operation_xyz
'x,y,z'
loop_
_atom_site_label
_atom_site_fract_x
_atom_site_fract_y
_atom_site_fract_z
Ir1 0.5000 0.5000 0.5000
Pt1 0.2500 0.2500 0.2500
Pt2 0.7500 0.7500 0.7500
Cl1 0.0000 0.0000 0.0000
```

=====

Record 7
Compound: Li2SiPb
Source: Alexandria
Functional: PBEsol
Structure: optimized geometry

Summary:
The value obtained for the raw formation energy is -0.053 eV/atom. Its total energy is -3.472 eV/atom. For the energy above the lowest structure with this stoichiometry, the calculation gives 54 meV/atom. Its space group is Cm.

```
data_Li2SiPb
_chemical_formula_sum 'Li2 Si1 Pb1'
_cell_length_a 3.1276
_cell_length_b 4.8536
_cell_length_c 5.1844
_cell_angle_alpha 97.84
_cell_angle_beta 107.56
_cell_angle_gamma 90.00
_space_group_name_H-M_alt 'P 1'
_space_group_IT_number 1
loop_
_space_group_symop_operation_xyz
'x,y,z'
loop_
_atom_site_label
_atom_site_fract_x
_atom_site_fract_y
_atom_site_fract_z
Pb1 0.4972 0.5042 0.9943
Si1 0.7412 0.2260 0.4824
Li1 0.0103 0.0155 0.0206
Li2 0.2514 0.7543 0.5027
```

=====

Record 8
Compound: TcPbSeBr2
Source: Alexandria
Functional: PBEsol
Structure: optimized geometry

Summary:
The value obtained for the raw formation energy is 0.070 eV/atom. Its total energy is -4.501 eV/atom. Its space group is P4/mmm.

```
data_TcPbSeBr2
_chemical_formula_sum 'Tc1 Pb1 Se1 Br2'
_cell_length_a 4.7114
_cell_length_b 5.1162
_cell_length_c 5.1162
_cell_angle_alpha 90.00
_cell_angle_beta 90.00
_cell_angle_gamma 90.00
_space_group_name_H-M_alt 'P 1'
_space_group_IT_number 1
loop_
_space_group_symop_operation_xyz
'x,y,z'
loop_
_atom_site_label
_atom_site_fract_x
_atom_site_fract_y
_atom_site_fract_z
Pb1 0.5000 0.5000 0.5000
Se1 0.5000 0.0000 0.0000
Tc1 0.0000 0.0000 0.0000
Br1 0.0000 0.0000 0.5000
Br2 0.0000 0.5000 0.0000
```